The following is a PBE calculation of a geometry-optimized NbTl2CoGe structure, from Alexandria.

Computed properties:
E_tot: -4.452 eV per atom
calculated volume: 107.88 Å³ per cell
crystal system: tetragonal
DFT formation energy: 853 meV per atom
symmetry: P4/mmm (123)
size of the total moment: 0.0 μB/cell

a = 4.9829 Å, b = 4.3448 Å, c = 4.9829 Å
α = 90.00°, β = 90.00°, γ = 90.00°
Fractional positions:
1 Tl 0.0000 0.0000 0.5000
2 Ge 0.0000 0.5000 0.0000
3 Tl 0.5000 0.0000 0.0000
4 Nb 0.5000 0.5000 0.5000
5 Co 0.0000 0.0000 0.0000